Version one
CoSi2Pt (PBE, relaxed); M_tot = 0.000 μB/atom
1.0
-2.622 2.622 5.270
2.622 -2.622 5.270
2.622 2.622 -5.270
Co Si Pt
2 4 2
Cartesian
0.000 0.000 0.000
0.000 2.622 2.635
3.933 1.178 -1.318
1.178 1.311 1.318
-1.311 1.445 3.953
1.445 1.311 6.588
2.622 0.000 2.635
0.000 0.000 5.270

Version two
CoSi2Pt (PBE, relaxed); M_tot = 0.062 μB/atom
1.0
2.725 0.000 0.000
0.000 2.725 0.000
0.000 0.000 7.189
Co Si Pt
1 2 1
Cartesian
0.000 0.000 0.000
0.000 0.000 3.726
1.362 1.362 5.863
1.362 1.362 1.993

Version three
CoSi2Pt (PBE, relaxed); M_tot = 0.000 μB/atom
1.0
3.231 0.000 0.000
0.000 3.231 0.000
0.000 0.000 5.017
Co Si Pt
1 2 1
Cartesian
0.000 0.000 0.000
0.000 0.000 2.748
1.615 1.615 4.292
1.615 1.615 1.776

Version four
CoSi2Pt (PBE, relaxed); M_tot = 0.124 μB/atom
1.0
1.443 0.833 7.531
-1.443 0.833 7.531
0.000 -1.666 7.531
Co Si Pt
1 2 1
Cartesian
0.000 0.000 0.000
0.000 0.000 11.060
0.000 0.000 16.617
0.000 0.000 5.350

Q: What are the energies relative to the best structure? A: version one 43.7; version two 38.8; version three 0.0; version four 39.8, in kJ/mol of atoms.

Version one
CoSi2Pt (PBE, relaxed); M_tot = 0.118 μB/atom
1.0
2.779 0.000 0.000
0.000 2.779 0.000
0.000 0.000 6.563
Co Si Pt
1 2 1
Cartesian
0.000 0.000 0.000
1.389 1.389 1.428
1.389 1.389 5.135
0.000 0.000 3.282

Version two
CoSi2Pt (PBE, relaxed); M_tot = 0.000 μB/atom
1.0
-1.329 1.782 5.760
1.329 -1.782 5.760
1.329 1.782 -5.760
Co Si Pt
1 2 1
Cartesian
0.000 0.000 0.000
0.000 0.000 6.422
0.000 1.782 3.837
1.329 0.000 2.564

Version three
CoSi2Pt (PBE, relaxed); M_tot = 0.000 μB/atom
1.0
1.404 0.810 7.575
-1.404 0.810 7.575
0.000 -1.621 7.575
Co Si Pt
1 2 1
Cartesian
0.000 0.000 0.000
0.000 0.000 5.852
0.000 0.000 16.873
0.000 0.000 11.362

Q: What are the energies relative to the best structure? A: version one 18.3; version two 0.0; version three 10.6, in kJ/mol of atoms.

Version one
CoSi2Pt (PBE, relaxed); M_tot = 0.181 μB/atom
1.0
2.846 0.000 0.000
0.000 3.847 0.000
-0.739 0.000 5.074
Co Si Pt
1 2 1
Cartesian
0.000 0.000 0.000
0.841 1.924 1.056
1.265 1.924 4.018
1.053 0.000 2.537

Version two
CoSi2Pt (PBE, relaxed); M_tot = 0.000 μB/atom
1.0
3.490 0.000 0.000
0.000 3.859 0.000
0.000 0.000 3.972
Co Si Pt
1 2 1
Cartesian
0.000 0.000 0.000
0.000 1.929 1.175
1.745 0.000 1.444
1.745 1.929 2.924

Q: What are the energies relative to the best structure? A: version one 24.9; version two 0.0, in kJ/mol of atoms.

Version one
CoSi2Pt (PBE, relaxed); M_tot = 0.000 μB/atom
1.0
3.970 -1.648 0.000
3.970 1.648 0.000
-1.165 0.000 3.984
Co Si Pt
1 2 1
Cartesian
0.000 0.000 0.000
1.111 0.000 3.709
3.345 0.000 2.364
5.606 0.000 1.571

Version two
CoSi2Pt (PBE, relaxed); M_tot = 0.000 μB/atom
1.0
-1.785 1.785 4.001
1.785 -1.785 4.001
1.785 1.785 -4.001
Co Si Pt
1 2 1
Cartesian
0.000 0.000 0.000
0.000 0.000 4.001
0.000 1.785 2.000
1.785 0.000 2.000

Q: What are the energies relative to the best structure? A: version one 0.0; version two 16.9, in kJ/mol of atoms.

Version one
Co3SiPt (PBE, relaxed); M_tot = 0.753 μB/atom
1.0
4.140 0.000 0.000
0.000 4.140 0.000
0.000 0.000 4.140
Co Si Pt
3 1 1
Cartesian
0.000 0.000 2.070
0.000 2.070 0.000
2.070 0.000 0.000
0.000 0.000 0.000
2.070 2.070 2.070

Version two
Co3SiPt (PBE, relaxed); M_tot = 1.279 μB/atom
1.0
4.589 0.000 0.000
0.000 4.589 0.000
0.000 0.000 4.589
Co Si Pt
3 1 1
Cartesian
0.000 0.000 2.295
0.000 2.295 0.000
2.295 0.000 0.000
2.295 2.295 2.295
0.000 0.000 0.000

Q: What are the energies relative to the best structure? A: version one 0.0; version two 74.5, in kJ/mol of atoms.

Version one
SmThCoPt (PBE, relaxed); M_tot = 0.000 μB/atom
1.0
4.164 0.000 0.000
0.000 1.912 5.621
0.000 -1.912 5.621
Sm Th Co Pt
1 1 1 1
Cartesian
0.000 0.000 0.000
2.082 0.000 8.116
0.000 0.000 2.885
2.082 0.000 4.902

Version two
SmThCoPt (PBE, relaxed); M_tot = 0.056 μB/atom
1.0
0.000 3.535 3.535
3.535 0.000 3.535
3.535 3.535 0.000
Sm Th Co Pt
1 1 1 1
Cartesian
0.000 0.000 0.000
3.535 3.535 3.535
5.302 5.302 5.302
1.767 1.767 1.767

Q: What are the energies relative to the best structure? A: version one 0.0; version two 18.6, in kJ/mol of atoms.

Version one
TaCo2Pt (PBE, relaxed); M_tot = 0.605 μB/atom
1.0
0.000 3.047 3.047
3.047 0.000 3.047
3.047 3.047 0.000
Ta Co Pt
1 2 1
Cartesian
0.000 0.000 0.000
3.047 3.047 3.047
4.570 4.570 4.570
1.523 1.523 1.523

Version two
TaCo2Pt (PBE, relaxed); M_tot = 0.350 μB/atom
1.0
-1.919 1.919 3.673
1.919 -1.919 3.673
1.919 1.919 -3.673
Ta Co Pt
1 2 1
Cartesian
0.000 0.000 0.000
1.919 0.000 1.837
0.000 1.919 1.837
0.000 0.000 3.673

Q: What are the energies relative to the best structure? A: version one 22.9; version two 0.0, in kJ/mol of atoms.

Version one
TaCo2Pt (PBE, relaxed); M_tot = 0.438 μB/atom
1.0
-1.878 1.878 3.855
1.878 -1.878 3.855
1.878 1.878 -3.855
Ta Co Pt
1 2 1
Cartesian
0.000 0.000 0.000
1.878 0.000 1.928
0.000 0.000 3.855
0.000 1.878 1.928

Version two
TaCo2Pt (PBE, relaxed); M_tot = 0.299 μB/atom
1.0
3.171 0.000 0.000
0.000 3.171 0.000
0.000 0.000 5.467
Ta Co Pt
1 2 1
Cartesian
0.000 0.000 0.000
1.585 1.585 1.317
1.585 1.585 4.150
0.000 0.000 2.733

Version three
TaCo2Pt (PBE, relaxed); M_tot = 0.669 μB/atom
1.0
1.373 0.793 8.667
-1.373 0.793 8.667
0.000 -1.585 8.667
Ta Co Pt
1 2 1
Cartesian
0.000 0.000 0.000
0.000 0.000 6.488
0.000 0.000 19.515
0.000 0.000 13.001

Q: What are the energies relative to the best structure? A: version one 0.0; version two 20.0; version three 45.2, in kJ/mol of atoms.

Version one
Ta4CoPt (PBE, relaxed); M_tot = 0.172 μB/atom
1.0
0.000 3.754 3.754
3.754 0.000 3.754
3.754 3.754 0.000
Ta Co Pt
4 1 1
Cartesian
2.820 2.820 2.820
4.688 4.688 2.820
4.688 2.820 4.688
2.820 4.688 4.688
5.631 5.631 5.631
0.000 0.000 0.000

Version two
Ta4CoPt (PBE, relaxed); M_tot = 0.000 μB/atom
1.0
6.278 0.000 0.000
0.000 6.278 0.000
0.000 0.000 5.094
Ta Co Pt
8 2 2
Cartesian
0.920 2.079 0.000
0.920 4.199 2.547
2.079 0.920 2.547
2.079 5.358 0.000
4.199 0.920 0.000
4.199 5.358 2.547
5.358 2.079 2.547
5.358 4.199 0.000
0.000 0.000 1.273
0.000 0.000 3.820
3.139 3.139 1.273
3.139 3.139 3.820

Q: What are the energies relative to the best structure? A: version one 70.9; version two 0.0, in kJ/mol of atoms.

Version one
Ta2CoPt2 (PBE, relaxed); M_tot = 0.265 μB/atom
1.0
-2.232 2.232 4.944
2.232 -2.232 4.944
2.232 2.232 -4.944
Ta Co Pt
2 1 2
Cartesian
2.232 0.000 2.472
0.000 2.232 2.472
0.000 0.000 0.000
0.000 0.000 3.711
0.000 0.000 6.177

Version two
Ta2CoPt2 (PBE, relaxed); M_tot = 0.236 μB/atom
1.0
-1.833 1.833 6.669
1.833 -1.833 6.669
1.833 1.833 -6.669
Ta Co Pt
2 1 2
Cartesian
0.000 0.000 1.335
0.000 0.000 12.002
0.000 0.000 6.669
1.833 0.000 3.334
0.000 1.833 3.334

Version three
Ta2CoPt2 (PBE, relaxed); M_tot = 0.264 μB/atom
1.0
7.052 0.000 0.000
0.000 7.052 0.000
0.000 0.000 3.471
Ta Co Pt
4 2 4
Cartesian
1.174 2.353 0.000
2.353 5.879 0.000
4.700 1.174 0.000
5.879 4.700 0.000
0.000 0.000 0.000
3.526 3.526 0.000
0.969 4.496 1.735
2.557 0.969 1.735
4.496 6.083 1.735
6.083 2.557 1.735

Q: What are the energies relative to the best structure? A: version one 26.7; version two 25.7; version three 0.0, in kJ/mol of atoms.

Version one
Co3TcPt (PBE, relaxed); M_tot = 0.412 μB/atom
1.0
4.327 0.000 0.000
0.000 4.327 0.000
0.000 0.000 4.327
Co Tc Pt
3 1 1
Cartesian
0.000 0.000 2.163
0.000 2.163 0.000
2.163 0.000 0.000
0.000 0.000 0.000
2.163 2.163 2.163

Version two
Co3TcPt (PBE, relaxed); M_tot = 1.991 μB/atom
1.0
4.546 0.000 0.000
0.000 4.546 0.000
0.000 0.000 4.546
Co Tc Pt
3 1 1
Cartesian
0.000 0.000 2.273
0.000 2.273 0.000
2.273 0.000 0.000
2.273 2.273 2.273
0.000 0.000 0.000

Q: What are the energies relative to the best structure? A: version one 0.0; version two 13.7, in kJ/mol of atoms.

Version one
CoTcPt4 (PBE, relaxed); M_tot = 0.831 μB/atom
1.0
0.000 3.672 3.672
3.672 0.000 3.672
3.672 3.672 0.000
Co Tc Pt
1 1 4
Cartesian
0.000 0.000 0.000
5.509 5.509 5.509
2.754 2.754 2.754
4.591 4.591 2.754
4.591 2.754 4.591
2.754 4.591 4.591

Version two
CoTcPt4 (PBE, relaxed); M_tot = 0.444 μB/atom
1.0
2.746 0.000 0.000
0.000 2.746 0.000
0.000 0.000 11.707
Co Tc Pt
1 1 4
Cartesian
0.000 0.000 0.000
1.373 1.373 5.853
0.000 0.000 3.938
0.000 0.000 7.769
1.373 1.373 1.791
1.373 1.373 9.916

Q: What are the energies relative to the best structure? A: version one 55.7; version two 0.0, in kJ/mol of atoms.